The following is a DFT calculation (PBE-GGA) of a relaxed Li4CeHg crystal.

Output
Volume   117.3 Å³ per cell
Formation energy   -0.3 eV per formula unit
Total magnetization   0.718 μB/cell
Final energy   -2.364 eV/atom
Crystal system   cubic
Theoretical density   5.214 g/cm3
Space group   No. 216

Lattice parameters (Å, degrees): 5.495 5.495 5.495 60.00 60.00 60.00
Element x y z (fractional)
Li: 0.378 0.378 0.378
Li: 0.378 0.378 0.867
Li: 0.378 0.867 0.378
Li: 0.867 0.378 0.378
Ce: 0.000 0.000 0.000
Hg: 0.750 0.750 0.750

---

The following is a DFT calculation (PBE-GGA) of a relaxed LiCe2Hg6 crystal.

Output
Volume   221.4 Å³ per cell
Formation energy   -2.6 eV per formula unit
Total magnetization   2.579 μB/cell
Final energy   -2.025 eV/atom
Crystal system   hexagonal
Theoretical density   11.179 g/cm3
Space group   No. 191

Lattice parameters (Å, degrees): 8.794 8.794 3.306 90.00 90.00 120.00
Element x y z (fractional)
Li: 0.000 0.000 0.000
Ce: 0.333 0.667 0.000
Ce: 0.667 0.333 0.000
Hg: 0.000 0.328 0.500
Hg: 0.000 0.672 0.500
Hg: 0.328 0.000 0.500
Hg: 0.328 0.328 0.500
Hg: 0.672 0.000 0.500
Hg: 0.672 0.672 0.500

---

The following is a DFT calculation (PBE-GGA) of a relaxed LiCeMgHg crystal.

Output
Volume   375.6 Å³ per cell
Formation energy   -0.8 eV per formula unit
Total magnetization   3.537 μB/cell
Final energy   -2.638 eV/atom
Crystal system   cubic
Theoretical density   6.579 g/cm3
Space group   No. 216

Lattice parameters (Å, degrees): 7.215 7.215 7.215 90.00 90.00 90.00
Element x y z (fractional)
Li: 0.000 0.000 0.000
Li: 0.000 0.500 0.500
Li: 0.500 0.000 0.500
Li: 0.500 0.500 0.000
Ce: 0.250 0.250 0.250
Ce: 0.250 0.750 0.750
Ce: 0.750 0.250 0.750
Ce: 0.750 0.750 0.250
Mg: 0.250 0.250 0.750
Mg: 0.250 0.750 0.250
Mg: 0.750 0.250 0.250
Mg: 0.750 0.750 0.750
Hg: 0.000 0.000 0.500
Hg: 0.000 0.500 0.000
Hg: 0.500 0.000 0.000
Hg: 0.500 0.500 0.500

---

The following is a DFT calculation (PBE-GGA) of a relaxed Li2CeMgHg2 crystal.

Output
Volume   134.3 Å³ per cell
Formation energy   -1.6 eV per formula unit
Total magnetization   1.276 μB/cell
Final energy   -2.253 eV/atom
Crystal system   trigonal
Theoretical density   7.165 g/cm3
Space group   No. 164

Lattice parameters (Å, degrees): 4.736 4.736 6.913 90.00 90.00 120.00
Element x y z (fractional)
Li: 0.333 0.667 0.169
Li: 0.667 0.333 0.831
Ce: 0.000 0.000 0.500
Mg: 0.000 0.000 0.000
Hg: 0.333 0.667 0.759
Hg: 0.667 0.333 0.241

---

The following is a DFT calculation (PBE-GGA) of a relaxed Li2CeNdHg4 crystal.

Output
Volume   193.3 Å³ per cell
Formation energy   -3.2 eV per formula unit
Total magnetization   0.870 μB/cell
Final energy   -2.370 eV/atom
Crystal system   trigonal
Theoretical density   9.453 g/cm3
Space group   No. 166

Lattice parameters (Å, degrees): 8.925 8.925 8.925 33.54 33.54 33.54
Element x y z (fractional)
Li: 0.250 0.250 0.250
Li: 0.750 0.750 0.750
Ce: 0.000 0.000 0.000
Nd: 0.500 0.500 0.500
Hg: 0.125 0.125 0.125
Hg: 0.375 0.375 0.375
Hg: 0.625 0.625 0.625
Hg: 0.875 0.875 0.875

---

The following is a DFT calculation (PBE-GGA) of a relaxed LiCe2NdHg4 crystal.

Output
Volume   212.4 Å³ per cell
Formation energy   -2.7 eV per formula unit
Total magnetization   2.608 μB/cell
Final energy   -2.810 eV/atom
Crystal system   trigonal
Theoretical density   9.645 g/cm3
Space group   No. 166

Lattice parameters (Å, degrees): 9.291 9.291 9.291 33.06 33.06 33.06
Element x y z (fractional)
Li: 0.000 0.000 0.000
Ce: 0.253 0.253 0.253
Ce: 0.747 0.747 0.747
Nd: 0.500 0.500 0.500
Hg: 0.121 0.121 0.121
Hg: 0.373 0.373 0.373
Hg: 0.627 0.627 0.627
Hg: 0.879 0.879 0.879